Here is a relaxed Ni2AgF crystal from the Alexandria database. Energies are from PBE+U.

a b c (Å): 5.979 5.979 5.979
angles (deg): 90.00 90.00 90.00
Space group Fm-3m (No. 225)
Asymmetric unit:
Ni1 0.250 0.250 0.250 (multiplicity 8)
Ag1 0.000 0.000 0.000 (multiplicity 4)
F1 0.000 0.000 0.500 (multiplicity 4)

energy above the most stable polymorph in this dataset = 285 kJ/mol of formula units
total moment = 8.1 Bohr magnetons per cell
energy = -1.7391 eV/atom